# 1
Below is crystalline LaDy12Ho3 at its relaxed geometry, with properties calculated at the PBE level.

Structure (POSCAR):
```
LaDy12Ho3
1.0
5.024 0.000 0.000
0.000 5.024 0.000
0.000 0.000 20.109
La Dy Ho
1 12 3
Direct
0.000 0.000 0.000
0.000 0.500 0.128
0.000 0.500 0.376
0.000 0.500 0.624
0.000 0.500 0.872
0.500 0.000 0.128
0.500 0.000 0.376
0.500 0.000 0.624
0.500 0.000 0.872
0.500 0.500 0.000
0.500 0.500 0.253
0.500 0.500 0.500
0.500 0.500 0.747
0.000 0.000 0.251
0.000 0.000 0.500
0.000 0.000 0.749
```

Computed properties:
For the formation energy, the calculation gives 23 meV/atom. For the final energy, the calculation gives -4.595 eV per atom. For the density of states at the Fermi level, the calculation gives 21.90 states/eV per cell. Its symmetry is No. 123.

# 2
Below is crystalline LaDy3Ho6 at its relaxed geometry, with properties calculated at the PBE level.

Structure (POSCAR):
```
LaDy3Ho6
1.0
4.909 2.834 3.886
-4.909 2.834 3.886
0.000 -5.668 3.886
La Dy Ho
1 3 6
Direct
0.000 0.000 0.000
0.251 0.251 0.251
0.499 0.499 0.499
0.744 0.744 0.744
0.003 0.335 0.667
0.173 0.829 0.503
0.335 0.667 0.003
0.503 0.173 0.829
0.667 0.003 0.335
0.829 0.503 0.173
```

Computed properties:
For the formation energy, the calculation gives 287 meV/atom. For the final energy, the calculation gives -4.333 eV per atom. For the density of states at the Fermi level, the calculation gives 21.68 states/eV per cell. Its energy above the most stable polymorph in this dataset is 137 meV/atom. Its symmetry is No. 146.

> Look up the final energy of the first one.

-4.595 eV per atom

> Which value of final energy does entry 1 give?

-4.595 eV per atom

> Which formula does entry 1 have?

LaDy12Ho3